# 1
First-principles (PBE) data for a relaxed structure of La6DyAl, as listed in Alexandria via LeMat-Bulk.

- N(E_F): 12.498 states/eV/cell
- Excess energy over the best structure of this formula in the dataset: 0.409 eV per atom
- Total moment: 0.000 μB per cell

Lattice parameters (Å, degrees): 6.6091 6.6411 8.9236 90.59 111.27 119.79
Element x y z (fractional)
1 La 0.0331 0.0685 0.2340
2 La 0.2749 0.7040 0.2358
3 La 0.3268 0.5330 0.7644
4 La 0.6732 0.4670 0.2356
5 La 0.7251 0.2960 0.7642
6 La 0.9669 0.9315 0.7660
7 Dy 0.5000 0.0000 0.0000
8 Al 0.5000 0.5000 0.5000

***

# 2
First-principles (PBE) data for a relaxed structure of LaDy2Al, as listed in Alexandria via LeMat-Bulk.

- N(E_F): 5.544 states/eV/cell
- Excess energy over the best structure of this formula in the dataset: 0.237 eV per atom
- Total moment: 0.000 μB per cell

Lattice parameters (Å, degrees): 11.6575 11.6575 11.6575 17.19 17.19 17.19
Element x y z (fractional)
1 La 0.0000 0.0000 0.0000
2 Dy 0.1011 0.1011 0.1011
3 Dy 0.8989 0.8989 0.8989
4 Al 0.5000 0.5000 0.5000

***

Question: What is the total moment in the first record?
Answer: 0.000 μB per cell

***

Question: The highest N(E_F) belongs to which entry?
Answer: La6DyAl

***

Question: total moment of number 2 (LaDy2Al)?
Answer: 0.000 μB per cell